(1)
Material: Dy7Mg2Ru2
Method: DFT, PBE
State: optimized geometry

Cell lengths 6.791, 6.791, 7.260 Å; angles 90.00, 90.00, 107.83 degrees
Positions (direct):
Dy: 0.000 0.000 0.000
Dy: 0.000 0.500 0.247
Dy: 0.000 0.500 0.753
Dy: 0.500 0.000 0.247
Dy: 0.500 0.000 0.753
Dy: 0.500 0.500 0.235
Dy: 0.500 0.500 0.765
Mg: 0.174 0.174 0.500
Mg: 0.826 0.826 0.500
Ru: 0.292 0.708 0.000
Ru: 0.708 0.292 0.000

The space-group type is Cmmm. The calculation puts the total magnetic moment at 0.00 μB per cell. For the uncorrected energy, the calculation gives -4.98 eV/atom. As for the formation enthalpy at 0 K: -0.87 eV per formula unit.


(2)
Material: UBOs
Method: DFT, PBE
State: optimized geometry

Cell lengths 5.520, 5.520, 5.520 Å; angles 149.58, 149.58, 43.55 degrees
Positions (direct):
U: 0.000 0.000 0.000
B: 0.695 0.695 0.000
Os: 0.280 0.280 0.000

The space-group type is I4mm. The calculation puts the total magnetic moment at 1.20 μB per cell. For the uncorrected energy, the calculation gives -9.75 eV/atom. As for the formation enthalpy at 0 K: -0.05 eV per formula unit.


Question: formation enthalpy at 0 K of number 1 (Dy7Mg2Ru2)?
Answer: -0.87 eV per formula unit